# Rb2V2PbO7, optimized geometry, DFT PBE+U
data_Rb2V2PbO7
_chemical_formula_sum 'Rb6 V6 Pb3 O21'
_space_group_name_H-M_alt 'R -3 m'
_space_group_IT_number 166
_space_group_name_Hall '-R 3 2"'
_cell_length_a 6.3589
_cell_length_b 6.3589
_cell_length_c 23.1117
_cell_angle_alpha 90.00
_cell_angle_beta 90.00
_cell_angle_gamma 120.00
loop_
_atom_site_label
_atom_site_type_symbol
_atom_site_fract_x
_atom_site_fract_y
_atom_site_fract_z
_atom_site_occupancy
Rb1 Rb 0.0000 0.0000 0.2360 1
V1 V 0.0000 0.0000 0.0785 1
Pb1 Pb 0.0000 0.0000 0.5000 1
O1 O 0.0000 0.0000 0.0000 1
O2 O 0.0397 0.5198 0.7706 1
# Calculated total energy in eV per cell: -232.547
# Fermi-level density of states in states/eV/cell: 0.00